# 1
# LaTa2Mn

A relaxed structure of LaTa2Mn (PBE, the Alexandria database).

Properties
The formation energy comes out at 0.708 eV/atom. The total energy comes out at -34.97 eV/f.u. The calculation puts the magnetic moment at 5.28 μB/cell. For the polymorph energy (0 for the lowest one), the calculation gives 450.0 meV per atom.

Lattice parameters (Å, degrees): 5.5917 10.1324 2.8696 90.00 90.00 90.00
Closest atoms and distances in Å follow each position.
Space group Cmmm (No. 65)
Asymmetric unit:
La 0.0000 0.0000 0.0000  2 Mn 2.80, 2 La 2.87
Ta 0.2500 0.2500 0.5000  4 Ta 2.80-2.87
Mn 0.0000 0.5000 0.0000  2 La 2.80, 2 Mn 2.87

# 2
# CsGaI2Br

A relaxed structure of CsGaI2Br (PBE, the Alexandria database).

Properties
Its formation energy from raw total energies is -938 meV per atom. The total energy comes out at -13.34 eV/f.u. The calculation puts the magnetic moment at 0.00 μB/cell.

Lattice parameters (Å, degrees): 5.8883 5.8883 5.6143 90.00 90.00 90.00
Closest atoms and distances in Å follow each position.
Space group P4/mmm (No. 123)
Asymmetric unit:
Cs 0.0000 0.0000 0.0000  8 I 4.07, 4 Br 4.16
Ga 0.5000 0.5000 0.5000  2 Br 2.81, 4 I 2.94
I 0.0000 0.5000 0.5000  2 Ga 2.94
Br 0.5000 0.5000 0.0000  2 Ga 2.81

# 3
# MgTaTcO6

A relaxed structure of MgTaTcO6 (PBE, the Alexandria database).

Properties
Its formation energy from raw total energies is -2215 meV per atom. The total energy comes out at -73.49 eV/f.u. The calculation puts the magnetic moment at 4.01 μB/cell.

Lattice parameters (Å, degrees): 4.7354 4.7354 9.2201 90.00 90.00 90.00
Closest atoms and distances in Å follow each position.
Space group P4_2nm (No. 102)
Asymmetric unit:
Mg 0.0000 0.0000 0.0000  6 O 2.07-2.14
Ta 0.0000 0.0000 0.6649  6 O 2.00-2.01
Tc 0.0000 0.0000 0.3309  6 O 1.96-2.00
O 0.1909 0.1909 0.4981  1 Ta 2.00, 1 Tc 2.00, 1 Mg 2.07
O 0.2020 0.2020 0.1759  1 Tc 1.97, 1 Ta 2.00, 1 Mg 2.11
O 0.2069 0.2069 0.8229  1 Tc 1.96, 1 Ta 2.01, 1 Mg 2.14

# 4
# Pm4PrNd3

A relaxed structure of Pm4PrNd3 (PBE, the Alexandria database).

Properties
The formation energy comes out at 0.033 eV/atom. The total energy comes out at -37.82 eV/f.u. The calculation puts the magnetic moment at 0.00 μB/cell. For the polymorph energy (0 for the lowest one), the calculation gives 19.2 meV per atom.

Lattice parameters (Å, degrees): 11.8979 7.4050 6.4027 90.00 90.00 90.00
Closest atoms and distances in Å follow each position.
Space group Pmn2_1 (No. 31)
Asymmetric unit:
Pm 0.0000 0.1237 0.0000  6 Pm 3.65-3.69, 4 Nd 3.67-3.72, 2 Pr 3.69-3.70
Pm 0.0000 0.8757 0.4997  6 Pm 3.65-3.69, 4 Nd 3.66-3.71, 2 Pr 3.69-3.72
Pm 0.2504 0.1239 0.3319  6 Pm 3.65-3.69, 5 Nd 3.66-3.72, 1 Pr 3.67
Pr 0.0000 0.3737 0.4990  6 Nd 3.66-3.71, 6 Pm 3.67-3.72
Nd 0.0000 0.6256 0.9985  6 Pm 3.66-3.72, 4 Nd 3.66-3.67, 2 Pr 3.70-3.71
Nd 0.2502 0.3739 0.8327  6 Pm 3.66-3.72, 4 Nd 3.66-3.71, 2 Pr 3.66-3.67

# 5
# Pm2Te2S

A relaxed structure of Pm2Te2S (PBE, the Alexandria database).

Properties
Its formation energy from raw total energies is -1629 meV per atom. The total energy comes out at -28.06 eV/f.u. The calculation puts the magnetic moment at 0.00 μB/cell. For the polymorph energy (0 for the lowest one), the calculation gives 0.0 meV per atom.

Lattice parameters (Å, degrees): 4.3877 17.5519 8.1848 90.00 90.00 90.00
Closest atoms and distances in Å follow each position.
Space group Cmc2_1 (No. 36)
Asymmetric unit:
Pm 0.0000 0.0501 0.0000  2 S 2.86-2.87
Pm 0.0000 0.3216 0.0814  2 S 2.73
Te 0.0000 0.3028 0.4687  5 Pm 3.19-3.40
Te 0.0000 0.4458 0.8057  5 Pm 3.14-3.33
S 0.0000 0.0943 0.6637  4 Pm 2.73-2.87